Entry from the Alexandria database: an optimized crystal structure of LaScCu (PBE).

Values from the calculation:
Total energy: -31.24 eV per cell
SG: I4mm (107)
Relative energy among the computed polymorphs: 73.5 meV/atom
Formation enthalpy at 0 K: -0.088 eV per atom

```
LaScCu
1.0
3.459 0.000 0.000
0.000 3.459 0.000
0.000 0.000 12.127
La Sc Cu
2 2 2
direct
0.000 0.000 0.000 La
0.500 0.500 0.500 La
0.000 0.000 0.721 Sc
0.500 0.500 0.221 Sc
0.000 0.000 0.324 Cu
0.500 0.500 0.824 Cu
```